(1)
Crystalline Ac2NdScTe6 at its relaxed geometry, computed with PBE.

a b c (Å): 7.5354 8.4621 11.2562
angles (deg): 90.00 88.73 90.00
Sites, in units of the cell vectors:
Te 0.8250 0.8274 0.9365
Te 0.1370 0.4671 0.7383
Te 0.8630 0.5329 0.2617
Te 0.3630 0.9671 0.7617
Te 0.6370 0.0329 0.2383
Te 0.8423 0.8104 0.5636
Te 0.3423 0.6896 0.0636
Te 0.1577 0.1896 0.4364
Te 0.1750 0.1726 0.0635
Te 0.3250 0.6726 0.4365
Te 0.6750 0.3274 0.5635
Te 0.6577 0.3104 0.9364
Nd 0.0000 0.5000 0.0000
Nd 0.5000 0.0000 0.5000
Ac 0.5482 0.6129 0.7549
Ac 0.0482 0.8871 0.2549
Ac 0.4518 0.3871 0.2451
Ac 0.9518 0.1129 0.7451
Sc 0.0000 0.5000 0.5000
Sc 0.5000 0.0000 0.0000

Results
- space-group type = P2_1/c, No. 14
- formation energy (no corrections) (kJ/mol of formula units) = -1409
- volume (Å³ per cell) = 717.58

---

(2)
Crystalline AcNdThSc at its relaxed geometry, computed with PBE.

a b c (Å): 5.7479 5.7479 5.7479
angles (deg): 60.00 60.00 60.00
Sites, in units of the cell vectors:
Nd 0.2500 0.2500 0.2500
Ac 0.0000 0.0000 0.0000
Sc 0.7500 0.7500 0.7500
Th 0.5000 0.5000 0.5000

Results
- space-group type = F-43m, No. 216
- ΔH_f (0 K) (eV per atom) = 0.171
- volume (Å³ per cell) = 134.28

---

(3)
Crystalline AcNdYSc at its relaxed geometry, computed with PBE.

a b c (Å): 5.7839 5.7839 5.7839
angles (deg): 60.00 60.00 60.00
Site moments in Bohr magnetons follow the coordinates.
Sites, in units of the cell vectors:
Sc 0.0000 0.0000 0.0000  0.26
Ac 0.5000 0.5000 0.5000  0.08
Nd 0.2500 0.2500 0.2500  0.18
Y 0.7500 0.7500 0.7500  0.11

Results
- space-group type = F-43m, No. 216
- ΔH_f (0 K) (eV per atom) = 0.199
- volume (Å³ per cell) = 136.82

---

Q: Which DFT total energy values were calculated for the entries above? A: -5.28; -5.49; -5.22, in eV/atom.